(1)
Density functional theory data (GGA-PBE) for a geometry-optimized MnGaPd2 structure.

The structure in POSCAR format:
```
MnGaPd2
1.0
-3.387 0.679 2.568
0.510 -1.455 4.018
0.163 2.824 3.721
Mn Ga Pd
1 1 2
Direct
0.500 0.500 0.500
0.750 0.750 0.750
0.000 0.000 0.000
0.250 0.250 0.250
```

Output
uncorrected energy	-23.81	eV/cell
magnetic moment	3.90	μB/f.u.
DFT formation energy	-1.2	eV/f.u.

---

(2)
Density functional theory data (GGA-PBE) for a geometry-optimized MnGaPd2 structure.

The structure in POSCAR format:
```
MnGaPd2
1.0
-2.230 -2.479 -0.149
-0.086 -0.124 3.334
-4.071 3.661 0.031
Mn Ga Pd
1 1 2
Direct
0.500 0.500 0.264
0.000 0.000 0.983
0.000 0.000 0.475
0.500 0.500 0.779
```

Output
uncorrected energy	-23.92	eV/cell
magnetic moment	4.14	μB/f.u.
DFT formation energy	-1.3	eV/f.u.

---

(3)
Density functional theory data (GGA-PBE) for a geometry-optimized Mn2GaPd5 structure.

The structure in POSCAR format:
```
Mn2GaPd5
1.0
-3.434 1.579 1.546
-2.482 -4.841 -0.570
3.163 -2.783 9.868
Mn Ga Pd
4 2 10
Direct
0.500 0.312 0.362
0.500 0.688 0.638
0.500 0.188 0.862
0.500 0.812 0.138
0.000 0.000 0.500
0.000 0.500 0.000
0.500 0.304 0.109
0.500 0.696 0.891
0.500 0.804 0.391
0.500 0.196 0.609
0.000 0.934 0.742
0.000 0.066 0.258
0.000 0.434 0.758
0.000 0.566 0.242
0.000 0.500 0.500
0.000 0.000 0.000
```

Output
uncorrected energy	-101.50	eV/cell
magnetic moment	9.17	μB/f.u.
DFT formation energy	-3.4	eV/f.u.

---

(4)
Density functional theory data (GGA-PBE) for a geometry-optimized MnGa3Pd7 structure.

The structure in POSCAR format:
```
MnGa3Pd7
1.0
-2.651 2.533 -3.512
-3.188 -3.112 5.408
3.385 3.373 5.124
Mn Ga Pd
1 3 7
Direct
0.500 0.500 0.500
0.000 0.769 0.231
0.500 0.000 0.000
0.000 0.231 0.769
0.237 0.186 0.186
0.332 0.030 0.605
0.668 0.395 0.970
0.332 0.605 0.030
0.000 0.500 0.500
0.668 0.970 0.395
0.763 0.814 0.814
```

Output
uncorrected energy	-58.08	eV/cell
magnetic moment	4.47	μB/f.u.
DFT formation energy	-3.5	eV/f.u.

---

(5)
Density functional theory data (GGA-PBE) for a geometry-optimized MnGa6Pd12 structure.

The structure in POSCAR format:
```
MnGa6Pd12
1.0
7.086 -0.090 -0.108
-1.164 6.991 -0.108
-1.164 -1.356 6.859
Mn Ga Pd
1 6 12
Direct
0.000 0.000 0.000
0.729 0.844 0.475
0.525 0.271 0.156
0.156 0.525 0.271
0.271 0.156 0.525
0.475 0.729 0.844
0.844 0.475 0.729
0.822 0.515 0.386
0.386 0.822 0.515
0.515 0.386 0.822
0.178 0.485 0.614
0.614 0.178 0.485
0.485 0.614 0.178
0.022 0.867 0.318
0.133 0.682 0.978
0.682 0.978 0.133
0.978 0.133 0.682
0.867 0.318 0.022
0.318 0.022 0.867
```

Output
uncorrected energy	-96.34	eV/cell
magnetic moment	4.60	μB/f.u.
DFT formation energy	-6.7	eV/f.u.

---

(6)
Density functional theory data (GGA-PBE) for a geometry-optimized Mn3GaPd3 structure.

The structure in POSCAR format:
```
Mn3GaPd3
1.0
-0.760 4.362 4.370
3.460 -3.234 4.033
4.790 2.745 -1.908
Mn Ga Pd
6 2 6
Direct
0.261 0.261 0.500
0.259 0.741 0.500
0.741 0.259 0.500
0.291 0.709 0.000
0.709 0.291 0.000
0.739 0.739 0.500
0.258 0.258 0.000
0.742 0.742 0.000
0.000 0.000 0.756
0.500 0.000 0.248
0.000 0.500 0.248
0.500 0.000 0.752
0.000 0.500 0.752
0.000 0.000 0.244
```

Output
uncorrected energy	-93.95	eV/cell
magnetic moment	12.86	μB/f.u.
DFT formation energy	-0.9	eV/f.u.